Record 1
First-principles (PBE) data for crystalline NbGaAu2 at its relaxed geometry, as listed in the Alexandria database.

VASP energy, eV/atom: -4.781
Crystal system: tetragonal
Total magnetic moment, μB/cell: 0.00
SG: No. 122
DFT formation energy, eV/atom: 0.132

Unit cell a=3.873 b=3.873 c=20.079 alpha=90.00 beta=90.00 gamma=90.00
Fractional positions:
Nb  0.000  0.000  0.000
Nb  0.000  0.500  0.250
Nb  0.500  0.000  0.750
Nb  0.500  0.500  0.500
Ga  0.000  0.000  0.500
Ga  0.000  0.500  0.750
Ga  0.500  0.000  0.250
Ga  0.500  0.500  0.000
Au  0.247  0.250  0.625
Au  0.250  0.747  0.875
Au  0.250  0.753  0.375
Au  0.253  0.250  0.125
Au  0.747  0.750  0.125
Au  0.750  0.247  0.375
Au  0.750  0.253  0.875
Au  0.753  0.750  0.625

Record 2
First-principles (PBE) data for crystalline NbGaAu at its relaxed geometry, as listed in the Alexandria database.

VASP energy, eV/atom: -5.700
Crystal system: monoclinic
Total magnetic moment, μB/cell: 0.00
SG: No. 11
DFT formation energy, eV/atom: -0.242

Unit cell a=3.003 b=4.486 c=7.763 alpha=90.00 beta=95.79 gamma=90.00
Fractional positions:
Nb  0.150  0.250  0.099
Nb  0.850  0.750  0.901
Ga  0.353  0.250  0.769
Ga  0.647  0.750  0.231
Au  0.270  0.750  0.576
Au  0.730  0.250  0.424

Record 3
First-principles (PBE) data for crystalline Nb8Ga6Au at its relaxed geometry, as listed in the Alexandria database.

VASP energy, eV/atom: -6.721
Crystal system: trigonal
Total magnetic moment, μB/cell: 0.00
SG: No. 148
DFT formation energy, eV/atom: 0.079

Unit cell a=7.081 b=7.081 c=7.081 alpha=64.99 beta=64.99 gamma=64.99
Fractional positions:
Nb  0.012  0.565  0.270
Nb  0.167  0.167  0.167
Nb  0.270  0.012  0.565
Nb  0.435  0.730  0.988
Nb  0.565  0.270  0.012
Nb  0.730  0.988  0.435
Nb  0.833  0.833  0.833
Nb  0.988  0.435  0.730
Ga  0.149  0.765  0.413
Ga  0.235  0.587  0.851
Ga  0.413  0.149  0.765
Ga  0.587  0.851  0.235
Ga  0.765  0.413  0.149
Ga  0.851  0.235  0.587
Au  0.500  0.500  0.500

Record 4
First-principles (PBE) data for crystalline NbGaAu2 at its relaxed geometry, as listed in the Alexandria database.

VASP energy, eV/atom: -5.035
Crystal system: tetragonal
Total magnetic moment, μB/cell: 0.00
SG: No. 123
DFT formation energy, eV/atom: -0.123

Unit cell a=3.044 b=3.044 c=7.603 alpha=90.00 beta=90.00 gamma=90.00
Fractional positions:
Nb  0.000  0.000  0.000
Ga  0.000  0.000  0.500
Au  0.500  0.500  0.257
Au  0.500  0.500  0.743

Record 5
First-principles (PBE) data for crystalline NbGaPdAu at its relaxed geometry, as listed in the Alexandria database.

VASP energy, eV/atom: -5.617
Crystal system: cubic
Total magnetic moment, μB/cell: 0.00
SG: No. 216
DFT formation energy, eV/atom: -0.226

Unit cell a=6.427 b=6.427 c=6.427 alpha=90.00 beta=90.00 gamma=90.00
Fractional positions:
Nb  0.000  0.000  0.000
Nb  0.000  0.500  0.500
Nb  0.500  0.000  0.500
Nb  0.500  0.500  0.000
Ga  0.250  0.250  0.750
Ga  0.250  0.750  0.250
Ga  0.750  0.250  0.250
Ga  0.750  0.750  0.750
Pd  0.000  0.000  0.500
Pd  0.000  0.500  0.000
Pd  0.500  0.000  0.000
Pd  0.500  0.500  0.500
Au  0.250  0.250  0.250
Au  0.250  0.750  0.750
Au  0.750  0.250  0.750
Au  0.750  0.750  0.250

Record 6
First-principles (PBE) data for crystalline NbGa2PtAu at its relaxed geometry, as listed in the Alexandria database.

VASP energy, eV/atom: -4.554
Crystal system: tetragonal
Total magnetic moment, μB/cell: 3.08
SG: No. 123
DFT formation energy, eV/atom: 0.534

Unit cell a=4.658 b=4.658 c=5.203 alpha=90.00 beta=90.00 gamma=90.00
Fractional positions:
Nb  0.000  0.000  0.000
Ga  0.000  0.500  0.500
Ga  0.500  0.000  0.500
Pt  0.500  0.500  0.500
Au  0.500  0.500  0.000

Record 7
First-principles (PBE) data for crystalline TiNbGaAu at its relaxed geometry, as listed in the Alexandria database.

VASP energy, eV/atom: -6.415
Crystal system: orthorhombic
Total magnetic moment, μB/cell: 0.00
SG: No. 47
DFT formation energy, eV/atom: -0.347

Unit cell a=3.855 b=4.113 c=4.239 alpha=90.00 beta=90.00 gamma=90.00
Fractional positions:
Ti  0.000  0.000  0.000
Nb  0.500  0.000  0.500
Ga  0.000  0.500  0.500
Au  0.500  0.500  0.000

Record 8
First-principles (PBE) data for crystalline NbVGa2Au at its relaxed geometry, as listed in the Alexandria database.

VASP energy, eV/atom: -4.711
Crystal system: tetragonal
Total magnetic moment, μB/cell: 3.11
SG: No. 123
DFT formation energy, eV/atom: 0.993

Unit cell a=4.947 b=4.947 c=5.059 alpha=90.00 beta=90.00 gamma=90.00
Fractional positions:
Nb  0.000  0.000  0.000
V  0.500  0.500  0.500
Ga  0.000  0.500  0.000
Ga  0.500  0.000  0.000
Au  0.000  0.000  0.500

Record 9
First-principles (PBE) data for crystalline NdGa4Au6 at its relaxed geometry, as listed in the Alexandria database.

VASP energy, eV/atom: -3.717
Crystal system: hexagonal
Total magnetic moment, μB/cell: 0.00
SG: No. 174
DFT formation energy, eV/atom: -0.396

Unit cell a=7.505 b=7.505 c=4.300 alpha=90.00 beta=90.00 gamma=120.00
Fractional positions:
Nd  0.000  0.000  0.000
Ga  0.333  0.667  0.000
Ga  0.396  0.199  0.500
Ga  0.801  0.197  0.500
Ga  0.803  0.604  0.500
Au  0.195  0.391  0.500
Au  0.196  0.805  0.500
Au  0.534  0.072  0.000
Au  0.538  0.466  0.000
Au  0.609  0.804  0.500
Au  0.928  0.462  0.000

Record 10
First-principles (PBE) data for crystalline NdGa4Au at its relaxed geometry, as listed in the Alexandria database.

VASP energy, eV/atom: -3.622
Crystal system: cubic
Total magnetic moment, μB/cell: 0.00
SG: No. 216
DFT formation energy, eV/atom: -0.263

Unit cell a=5.554 b=5.554 c=5.554 alpha=60.00 beta=60.00 gamma=60.00
Fractional positions:
Nd  0.000  0.000  0.000
Ga  0.124  0.625  0.625
Ga  0.625  0.124  0.625
Ga  0.625  0.625  0.124
Ga  0.625  0.625  0.625
Au  0.250  0.250  0.250

Record 11
First-principles (PBE) data for crystalline NdGa2Au3 at its relaxed geometry, as listed in the Alexandria database.

VASP energy, eV/atom: -3.999
Crystal system: monoclinic
Total magnetic moment, μB/cell: 0.00
SG: No. 12
DFT formation energy, eV/atom: -0.557

Unit cell a=8.840 b=8.840 c=10.492 alpha=107.07 beta=107.07 gamma=28.11
Fractional positions:
Nd  0.000  0.000  0.000
Nd  0.153  0.153  0.693
Nd  0.847  0.847  0.307
Ga  0.202  0.202  0.120
Ga  0.359  0.359  0.550
Ga  0.470  0.470  0.227
Ga  0.530  0.530  0.773
Ga  0.641  0.641  0.450
Ga  0.798  0.798  0.880
Au  0.044  0.044  0.339
Au  0.220  0.220  0.376
Au  0.332  0.332  0.050
Au  0.382  0.382  0.817
Au  0.500  0.500  0.500
Au  0.618  0.618  0.183
Au  0.668  0.668  0.950
Au  0.780  0.780  0.624
Au  0.956  0.956  0.661

Record 12
First-principles (PBE) data for crystalline Nd7Ga2Au2 at its relaxed geometry, as listed in the Alexandria database.

VASP energy, eV/atom: -4.456
Crystal system: orthorhombic
Total magnetic moment, μB/cell: 0.00
SG: No. 65
DFT formation energy, eV/atom: -0.276

Unit cell a=6.912 b=6.912 c=7.446 alpha=90.00 beta=90.00 gamma=108.52
Fractional positions:
Nd  0.000  0.000  0.000
Nd  0.000  0.500  0.281
Nd  0.000  0.500  0.719
Nd  0.500  0.000  0.281
Nd  0.500  0.000  0.719
Nd  0.500  0.500  0.268
Nd  0.500  0.500  0.732
Ga  0.161  0.161  0.500
Ga  0.839  0.839  0.500
Au  0.289  0.711  0.000
Au  0.711  0.289  0.000

Record 13
First-principles (PBE) data for crystalline Nd2GaAu5 at its relaxed geometry, as listed in the Alexandria database.

VASP energy, eV/atom: -4.148
Crystal system: monoclinic
Total magnetic moment, μB/cell: 0.00
SG: No. 8
DFT formation energy, eV/atom: -0.529

Unit cell a=8.659 b=9.149 c=6.314 alpha=90.00 beta=133.24 gamma=90.00
Fractional positions:
Nd  0.000  0.250  0.000
Nd  0.000  0.750  0.000
Nd  0.500  0.250  0.000
Nd  0.500  0.750  0.000
Ga  0.405  0.000  0.501
Ga  0.905  0.500  0.501
Au  0.001  0.221  0.500
Au  0.001  0.779  0.500
Au  0.224  0.000  0.947
Au  0.228  0.500  0.499
Au  0.278  0.500  0.054
Au  0.501  0.279  0.500
Au  0.501  0.721  0.500
Au  0.724  0.500  0.947
Au  0.728  0.000  0.499
Au  0.778  0.000  0.054

Record 14
First-principles (PBE) data for crystalline Nd5Ga2Au at its relaxed geometry, as listed in the Alexandria database.

VASP energy, eV/atom: -4.636
Crystal system: tetragonal
Total magnetic moment, μB/cell: 0.00
SG: No. 140
DFT formation energy, eV/atom: -0.490

Unit cell a=9.424 b=9.424 c=9.424 alpha=131.92 beta=131.92 gamma=70.36
Fractional positions:
Nd  0.000  0.000  0.000
Nd  0.026  0.526  0.847
Nd  0.179  0.026  0.500
Nd  0.321  0.821  0.847
Nd  0.474  0.321  0.500
Nd  0.500  0.500  0.000
Nd  0.526  0.679  0.500
Nd  0.679  0.179  0.153
Nd  0.821  0.974  0.500
Nd  0.974  0.474  0.153
Ga  0.118  0.382  0.500
Ga  0.382  0.882  0.265
Ga  0.618  0.118  0.735
Ga  0.882  0.618  0.500
Au  0.250  0.250  0.000
Au  0.750  0.750  0.000

Record 15
First-principles (PBE) data for crystalline NdGaAu4 at its relaxed geometry, as listed in the Alexandria database.

VASP energy, eV/atom: -3.873
Crystal system: cubic
Total magnetic moment, μB/cell: 0.00
SG: No. 216
DFT formation energy, eV/atom: -0.389

Unit cell a=5.629 b=5.629 c=5.629 alpha=60.00 beta=60.00 gamma=60.00
Fractional positions:
Nd  0.000  0.000  0.000
Ga  0.250  0.250  0.250
Au  0.126  0.625  0.625
Au  0.625  0.126  0.625
Au  0.625  0.625  0.126
Au  0.625  0.625  0.625

Record 16
First-principles (PBE) data for crystalline Nd4Ga2Au5 at its relaxed geometry, as listed in the Alexandria database.

VASP energy, eV/atom: -4.481
Crystal system: monoclinic
Total magnetic moment, μB/cell: 0.00
SG: No. 10
DFT formation energy, eV/atom: -0.707

Unit cell a=7.646 b=3.902 c=8.952 alpha=90.00 beta=93.47 gamma=90.00
Fractional positions:
Nd  0.222  0.000  0.134
Nd  0.272  0.000  0.627
Nd  0.728  0.000  0.373
Nd  0.778  0.000  0.866
Ga  0.062  0.500  0.376
Ga  0.938  0.500  0.624
Au  0.130  0.500  0.876
Au  0.403  0.500  0.361
Au  0.500  0.500  0.000
Au  0.597  0.500  0.639
Au  0.870  0.500  0.124

Record 17
First-principles (PBE) data for crystalline NdGa3Au2 at its relaxed geometry, as listed in the Alexandria database.

VASP energy, eV/atom: -3.925
Crystal system: monoclinic
Total magnetic moment, μB/cell: 0.00
SG: No. 12
DFT formation energy, eV/atom: -0.525

Unit cell a=8.606 b=8.606 c=7.012 alpha=111.31 beta=111.31 gamma=30.40
Fractional positions:
Nd  0.127  0.127  0.165
Nd  0.873  0.873  0.835
Ga  0.054  0.054  0.678
Ga  0.323  0.323  0.108
Ga  0.337  0.337  0.513
Ga  0.663  0.663  0.487
Ga  0.677  0.677  0.892
Ga  0.946  0.946  0.322
Au  0.218  0.218  0.709
Au  0.497  0.497  0.203
Au  0.503  0.503  0.797
Au  0.782  0.782  0.291

Record 18
First-principles (PBE) data for crystalline NdGa2Au7 at its relaxed geometry, as listed in the Alexandria database.

VASP energy, eV/atom: -3.606
Crystal system: orthorhombic
Total magnetic moment, μB/cell: 0.00
SG: No. 65
DFT formation energy, eV/atom: -0.230

Unit cell a=7.460 b=7.460 c=4.817 alpha=90.00 beta=90.00 gamma=119.36
Fractional positions:
Nd  0.000  0.000  0.000
Ga  0.298  0.702  0.500
Ga  0.702  0.298  0.500
Au  0.069  0.302  0.500
Au  0.230  0.770  0.000
Au  0.302  0.069  0.500
Au  0.500  0.500  0.500
Au  0.698  0.931  0.500
Au  0.770  0.230  0.000
Au  0.931  0.698  0.500

Record 19
First-principles (PBE) data for crystalline Nd5GaAu4 at its relaxed geometry, as listed in the Alexandria database.

VASP energy, eV/atom: -4.718
Crystal system: tetragonal
Total magnetic moment, μB/cell: 0.00
SG: No. 123
DFT formation energy, eV/atom: -0.720

Unit cell a=3.706 b=3.706 c=18.658 alpha=90.00 beta=90.00 gamma=90.00
Fractional positions:
Nd  0.000  0.000  0.000
Nd  0.000  0.000  0.200
Nd  0.000  0.000  0.400
Nd  0.000  0.000  0.600
Nd  0.000  0.000  0.800
Ga  0.500  0.500  0.500
Au  0.500  0.500  0.099
Au  0.500  0.500  0.301
Au  0.500  0.500  0.699
Au  0.500  0.500  0.901

Record 20
First-principles (PBE) data for crystalline Nd2Ga5Au3 at its relaxed geometry, as listed in the Alexandria database.

VASP energy, eV/atom: -4.094
Crystal system: orthorhombic
Total magnetic moment, μB/cell: 0.00
SG: No. 72
DFT formation energy, eV/atom: -0.643

Unit cell a=8.739 b=8.739 c=8.739 alpha=103.99 beta=90.59 gamma=138.40
Fractional positions:
Nd  0.127  0.239  0.366
Nd  0.373  0.739  0.112
Nd  0.627  0.261  0.888
Nd  0.873  0.761  0.634
Ga  0.017  0.750  0.267
Ga  0.117  0.647  0.763
Ga  0.250  0.250  0.000
Ga  0.383  0.147  0.530
Ga  0.483  0.750  0.733
Ga  0.517  0.250  0.267
Ga  0.617  0.853  0.470
Ga  0.750  0.750  0.000
Ga  0.883  0.353  0.237
Ga  0.983  0.250  0.733
Au  0.134  0.879  0.012
Au  0.250  0.750  0.500
Au  0.366  0.379  0.745
Au  0.634  0.621  0.255
Au  0.750  0.250  0.500
Au  0.866  0.121  0.988